w:
# AcCdSi2 GGA-PBE relaxed
# crystal system: orthorhombic
# space group: Amm2 (38)
# magnetization: 0.00 μB per atom
data_AcCdSi2
_symmetry_space_group_name_H-M 'P 1'
_symmetry_Int_Tables_number 1
_cell_length_a 4.1382
_cell_length_b 5.1817
_cell_length_c 5.1817
_cell_angle_alpha 72.93
_cell_angle_beta 90.00
_cell_angle_gamma 90.00
loop_
_symmetry_equiv_pos_as_xyz
'x,y,z'
loop_
_atom_site_label
_atom_site_fract_x
_atom_site_fract_y
_atom_site_fract_z
_atom_site_occupancy
Ac1 0.0000 0.0000 0.0000 1
Cd1 0.5000 0.5827 0.5827 1
Si1 0.5000 0.1043 0.4800 1
Si2 0.5000 0.4800 0.1043 1

=====

x:
# AcCdSi2 GGA-PBE relaxed
# crystal system: orthorhombic
# space group: Pnma (62)
# magnetization: 0.00 μB per atom
data_AcCdSi2
_symmetry_space_group_name_H-M 'P 1'
_symmetry_Int_Tables_number 1
_cell_length_a 14.4839
_cell_length_b 4.4745
_cell_length_c 11.6132
_cell_angle_alpha 90.00
_cell_angle_beta 90.00
_cell_angle_gamma 90.00
loop_
_symmetry_equiv_pos_as_xyz
'x,y,z'
loop_
_atom_site_label
_atom_site_fract_x
_atom_site_fract_y
_atom_site_fract_z
_atom_site_occupancy
Ac1 0.0562 0.2500 0.2372 1
Ac2 0.1949 0.7500 0.9644 1
Ac3 0.3051 0.2500 0.4644 1
Ac4 0.4438 0.7500 0.7372 1
Ac5 0.5562 0.2500 0.2628 1
Ac6 0.6949 0.7500 0.5356 1
Ac7 0.8051 0.2500 0.0356 1
Ac8 0.9438 0.7500 0.7628 1
Cd1 0.0596 0.2500 0.5555 1
Cd2 0.1955 0.7500 0.6616 1
Cd3 0.3045 0.2500 0.1616 1
Cd4 0.4404 0.7500 0.0555 1
Cd5 0.5596 0.2500 0.9445 1
Cd6 0.6955 0.7500 0.8384 1
Cd7 0.8045 0.2500 0.3384 1
Cd8 0.9404 0.7500 0.4445 1
Si1 0.0225 0.2500 0.9625 1
Si2 0.1080 0.2500 0.7864 1
Si3 0.1336 0.7500 0.4372 1
Si4 0.2205 0.7500 0.2601 1
Si5 0.2795 0.2500 0.7601 1
Si6 0.3664 0.2500 0.9372 1
Si7 0.3920 0.7500 0.2864 1
Si8 0.4775 0.7500 0.4625 1
Si9 0.5225 0.2500 0.5375 1
Si10 0.6080 0.2500 0.7136 1
Si11 0.6336 0.7500 0.0628 1
Si12 0.7205 0.7500 0.2399 1
Si13 0.7795 0.2500 0.7399 1
Si14 0.8664 0.2500 0.5628 1
Si15 0.8920 0.7500 0.2136 1
Si16 0.9775 0.7500 0.0375 1

=====

Least stable of them? w.

=====

w:
# Ac6CdSi2 GGA-PBE relaxed
# crystal system: orthorhombic
# space group: Immm (71)
# magnetization: 0.00 μB per atom
data_Ac6CdSi2
_symmetry_space_group_name_H-M 'P 1'
_symmetry_Int_Tables_number 1
_cell_length_a 9.4102
_cell_length_b 9.4102
_cell_length_c 9.4102
_cell_angle_alpha 110.97
_cell_angle_beta 109.95
_cell_angle_gamma 107.51
loop_
_symmetry_equiv_pos_as_xyz
'x,y,z'
loop_
_atom_site_label
_atom_site_fract_x
_atom_site_fract_y
_atom_site_fract_z
_atom_site_occupancy
Ac1 0.0384 0.2422 0.7963 1
Ac2 0.1775 0.2736 0.4511 1
Ac3 0.1775 0.7264 0.9039 1
Ac4 0.3221 0.0242 0.7021 1
Ac5 0.3221 0.6201 0.2979 1
Ac6 0.4459 0.2422 0.2037 1
Ac7 0.5541 0.7578 0.7963 1
Ac8 0.6779 0.3799 0.7021 1
Ac9 0.6779 0.9758 0.2979 1
Ac10 0.8225 0.2736 0.0961 1
Ac11 0.8225 0.7264 0.5489 1
Ac12 0.9616 0.7578 0.2037 1
Cd1 0.0000 0.0000 0.0000 1
Cd2 0.5000 0.5000 0.0000 1
Si1 0.1087 0.6087 0.5000 1
Si2 0.3739 0.0000 0.3739 1
Si3 0.6261 0.0000 0.6261 1
Si4 0.8913 0.3913 0.5000 1

=====

x:
# Ac6CdSi2 GGA-PBE relaxed
# crystal system: monoclinic
# space group: C2/m (12)
# magnetization: 0.00 μB per atom
data_Ac6CdSi2
_symmetry_space_group_name_H-M 'P 1'
_symmetry_Int_Tables_number 1
_cell_length_a 7.0749
_cell_length_b 7.0749
_cell_length_c 10.1907
_cell_angle_alpha 122.17
_cell_angle_beta 122.17
_cell_angle_gamma 52.26
loop_
_symmetry_equiv_pos_as_xyz
'x,y,z'
loop_
_atom_site_label
_atom_site_fract_x
_atom_site_fract_y
_atom_site_fract_z
_atom_site_occupancy
Ac1 0.0839 0.0839 0.3835 1
Ac2 0.3411 0.3411 0.9474 1
Ac3 0.3434 0.3434 0.3183 1
Ac4 0.6566 0.6566 0.6817 1
Ac5 0.6589 0.6589 0.0526 1
Ac6 0.9161 0.9161 0.6165 1
Cd1 0.0000 0.0000 0.0000 1
Si1 0.3984 0.3984 0.6770 1
Si2 0.6016 0.6016 0.3230 1

=====

Least stable of them? x.

=====

w:
# Ac4SmCd GGA-PBE relaxed
# crystal system: tetragonal
# space group: P4/mmm (123)
# magnetization: 0.00 μB per atom
data_Ac4SmCd
_symmetry_space_group_name_H-M 'P 1'
_symmetry_Int_Tables_number 1
_cell_length_a 5.7580
_cell_length_b 5.7580
_cell_length_c 8.0677
_cell_angle_alpha 90.00
_cell_angle_beta 90.00
_cell_angle_gamma 90.00
loop_
_symmetry_equiv_pos_as_xyz
'x,y,z'
loop_
_atom_site_label
_atom_site_fract_x
_atom_site_fract_y
_atom_site_fract_z
_atom_site_occupancy
Ac1 0.0000 0.5000 0.2439 1
Ac2 0.0000 0.5000 0.7561 1
Ac3 0.5000 0.0000 0.2439 1
Ac4 0.5000 0.0000 0.7561 1
Sm1 0.0000 0.0000 0.5000 1
Cd1 0.5000 0.5000 0.0000 1

=====

x:
# Ac4SmCd GGA-PBE relaxed
# crystal system: tetragonal
# space group: P4/mmm (123)
# magnetization: 0.00 μB per atom
data_Ac4SmCd
_symmetry_space_group_name_H-M 'P 1'
_symmetry_Int_Tables_number 1
_cell_length_a 3.9670
_cell_length_b 3.9670
_cell_length_c 14.9964
_cell_angle_alpha 90.00
_cell_angle_beta 90.00
_cell_angle_gamma 90.00
loop_
_symmetry_equiv_pos_as_xyz
'x,y,z'
loop_
_atom_site_label
_atom_site_fract_x
_atom_site_fract_y
_atom_site_fract_z
_atom_site_occupancy
Ac1 0.0000 0.0000 0.1419 1
Ac2 0.0000 0.0000 0.8581 1
Ac3 0.5000 0.5000 0.3297 1
Ac4 0.5000 0.5000 0.6703 1
Sm1 0.0000 0.0000 0.5000 1
Cd1 0.5000 0.5000 0.0000 1

=====

Least stable of them? w.